Entry 1:
The following is a DFT calculation (PBE) of a relaxed VP2HRu crystal.

Calculated volume   10.79 Å³/atom
Excess energy over the best structure of this formula in the dataset   0.0 meV per atom
Space-group type   P4/mmm (123)

abc: 4.1509 3.1319 4.1509
angles: 90.00 90.00 90.00
Fractional positions:
Ru1 0.5000 0.5000 0.5000
H1 0.0000 0.0000 0.0000
P1 0.0000 0.0000 0.5000
P2 0.5000 0.0000 0.0000
V1 0.0000 0.5000 0.0000


Entry 2:
The following is a DFT calculation (PBE) of a relaxed YPH2Ru crystal.

Calculated volume   11.50 Å³/atom
DFT total energy   -6.27 eV per atom
Space-group type   Cmcm (63)

abc: 3.8216 5.3578 6.0122
angles: 90.00 90.00 110.89
Fractional positions:
Y1 0.7149 0.4297 0.7500
Y2 0.2851 0.5703 0.2500
P1 0.4331 0.8662 0.7500
P2 0.5669 0.1338 0.2500
H1 0.1690 0.3380 0.9375
H2 0.8310 0.6620 0.0625
H3 0.1690 0.3380 0.5625
H4 0.8310 0.6620 0.4375
Ru1 0.0000 0.0000 0.0000
Ru2 0.0000 0.0000 0.5000